Material: BaIn2Te
Method: DFT, meta-GGA SCAN
State: PBEsol geometry

Cell: 6.258 6.258 6.258 Å, 134.56 132.72 67.67°
Atoms (fractional coordinates):
Ba  0.000  0.000  0.000
In  0.260  0.760  0.500
In  0.548  0.548  0.000
Te  0.750  0.250  0.500

Results
**E**: -36.523 eV per atom
**Uncorrected formation energy**: -630 meV/atom
**Total moment**: 0.00 μB/f.u.

=====

Material: B3PtPb
Method: DFT, meta-GGA SCAN
State: PBEsol geometry

Cell: 4.465 4.465 4.465 Å, 90.00 90.00 90.00°
Atoms (fractional coordinates):
B  0.000  0.000  0.500
B  0.000  0.500  0.000
B  0.500  0.000  0.000
Pt  0.500  0.500  0.500
Pb  0.000  0.000  0.000

Results
**E**: -30.815 eV per atom
**ΔE_f**: 2.838 eV per atom
**Total moment**: 0.00 μB/f.u.

=====

Material: LaHf2N
Method: DFT, meta-GGA SCAN
State: PBEsol geometry

Cell: 6.502 6.502 6.502 Å, 119.20 119.20 91.39°
Atoms (fractional coordinates):
La  0.000  0.000  0.000
La  0.750  0.250  0.500
Hf  0.320  0.625  0.195
Hf  0.375  0.570  0.695
Hf  0.430  0.125  0.805
Hf  0.875  0.680  0.305
N  0.250  0.750  0.500
N  0.500  0.500  0.000

Results
**E**: -44.986 eV per atom
**Uncorrected formation energy**: -551 meV/atom
**Total moment**: 0.00 μB/f.u.

=====

Material: AcSm3
Method: DFT, meta-GGA SCAN
State: PBEsol geometry

Cell: 6.277 6.277 6.277 Å, 131.54 131.54 70.96°
Atoms (fractional coordinates):
Ac  0.000  0.000  0.000
Sm  0.250  0.750  0.500
Sm  0.500  0.500  0.000
Sm  0.750  0.250  0.500

Results
**E**: -55.917 eV per atom
**ΔE_f**: 0.034 eV per atom
**Total moment**: 0.02 μB/f.u.

=====

Material: TlTcCl2
Method: DFT, meta-GGA SCAN
State: PBEsol geometry

Cell: 3.319 4.469 5.636 Å, 90.00 90.00 90.00°
Atoms (fractional coordinates):
Tl  0.000  0.000  0.000
Tc  0.500  0.000  0.500
Cl  0.000  0.500  0.500
Cl  0.500  0.500  0.000

Results
**E**: -30.655 eV per atom
**Uncorrected formation energy**: 188 meV/atom
**ΔE to the lowest computed polymorph**: 434 meV/atom
**Total moment**: 3.91 μB/f.u.

=====

Material: Ba2Cu
Method: DFT, meta-GGA SCAN
State: PBEsol geometry

Cell: 7.779 7.779 7.779 Å, 150.78 150.78 41.79°
Atoms (fractional coordinates):
Ba  0.125  0.125  0.000
Ba  0.875  0.875  0.000
Cu  0.500  0.500  0.000

Results
**E**: -31.382 eV per atom
**ΔE_f**: 0.051 eV per atom
**Total moment**: 0.00 μB/f.u.

=====

Material: CrInSb
Method: DFT, meta-GGA SCAN
State: PBEsol geometry

Cell: 3.220 3.220 6.540 Å, 90.00 90.00 120.00°
Atoms (fractional coordinates):
Cr  0.000  0.000  0.000
In  0.333  0.667  0.692
Sb  0.667  0.333  0.274

Results
**E**: -29.337 eV per atom
**Uncorrected formation energy**: 341 meV/atom
**ΔE to the lowest computed polymorph**: 141 meV/atom
**Total moment**: 2.86 μB/f.u.

=====

Material: KRe3Pd
Method: DFT, meta-GGA SCAN
State: PBEsol geometry

Cell: 4.771 4.771 4.771 Å, 90.00 90.00 90.00°
Atoms (fractional coordinates):
K  0.000  0.000  0.000
Re  0.000  0.500  0.500
Re  0.500  0.000  0.500
Re  0.500  0.500  0.000
Pd  0.500  0.500  0.500

Results
**E**: -48.132 eV per atom
**ΔE_f**: 2.747 eV per atom
**Total moment**: 3.27 μB/f.u.

=====

Material: TlHgCl
Method: DFT, meta-GGA SCAN
State: PBEsol geometry

Cell: 6.356 6.356 6.356 Å, 145.64 145.64 49.38°
Atoms (fractional coordinates):
Tl  0.000  0.000  0.000
Hg  0.688  0.688  0.000
Cl  0.368  0.368  0.000

Results
**E**: -50.131 eV per atom
**Uncorrected formation energy**: -630 meV/atom
**ΔE to the lowest computed polymorph**: 0 meV/atom
**Total moment**: 0.00 μB/f.u.

=====

Material: Y2Rh2Au
Method: DFT, meta-GGA SCAN
State: PBEsol geometry

Cell: 7.191 7.191 3.761 Å, 90.00 90.00 90.00°
Atoms (fractional coordinates):
Y  0.173  0.327  0.000
Y  0.327  0.827  0.000
Y  0.673  0.173  0.000
Y  0.827  0.673  0.000
Rh  0.132  0.632  0.500
Rh  0.368  0.132  0.500
Rh  0.632  0.868  0.500
Rh  0.868  0.368  0.500
Au  0.000  0.000  0.500
Au  0.500  0.500  0.500

Results
**E**: -39.391 eV per atom
**ΔE_f**: -0.914 eV per atom
**ΔE to the lowest computed polymorph**: 0 meV/atom
**Total moment**: 0.00 μB/f.u.

=====

Material: YFe2
Method: DFT, meta-GGA SCAN
State: PBEsol geometry

Cell: 5.029 5.029 5.029 Å, 60.00 60.00 60.00°
Atoms (fractional coordinates):
Y  0.125  0.125  0.125
Y  0.875  0.875  0.875
Fe  0.000  0.500  0.500
Fe  0.500  0.000  0.500
Fe  0.500  0.500  0.000
Fe  0.500  0.500  0.500

Results
**E**: -21.356 eV per atom
**ΔE_f**: 0.011 eV per atom
**Total moment**: 3.79 μB/f.u.

=====

Material: RbPtI2N
Method: DFT, meta-GGA SCAN
State: PBEsol geometry

Cell: 5.944 5.944 3.743 Å, 90.00 90.00 90.00°
Atoms (fractional coordinates):
Rb  0.000  0.000  0.000
Pt  0.500  0.500  0.500
I  0.000  0.500  0.500
I  0.500  0.000  0.500
N  0.500  0.500  0.000

Results
**E**: -34.942 eV per atom
**Uncorrected formation energy**: -201 meV/atom
**Total moment**: 0.00 μB/f.u.